No. 1
Here is InSb2Pb after structural relaxation from the Alexandria database. Energies are from PBE.

The total magnetization is 0.0 μB per cell. The density of states at the Fermi level is 2.4 states/eV/f.u. The formation energy (no corrections) comes out at 0.46 eV per formula unit.

The structure belongs to space group Fm-3m (No. 225); the cell edges are 7.7180, 7.7180 and 7.7180 Å and the angles 90.00°, 90.00° and 90.00°. The inequivalent atoms are In at (0.0000, 0.0000, 0.0000), Sb at (0.2500, 0.2500, 0.2500) and Pb at (0.0000, 0.0000, 0.5000).

---

No. 2
Here is Y2CdAs2 after structural relaxation from the Alexandria database. Energies are from PBE.

The total magnetization is 0.0 μB per cell. The density of states at the Fermi level is 0.5 states/eV/f.u. As for the formation energy: -0.873 eV per atom.

The structure belongs to space group P4/mbm (No. 127); the cell edges are 8.0854, 8.0854 and 3.7334 Å and the angles 90.00°, 90.00° and 90.00°. The inequivalent atoms are Y at (0.1473, 0.3527, 0.0000), Cd at (0.0000, 0.0000, 0.0000) and As at (0.1557, 0.6557, 0.5000).